Entry 1:
# CrHIrS2

A geometry-optimized CrHIrS2 structure (PBE, Alexandria).

For the total energy, the calculation gives -5.61 eV/atom. For the density of states at the Fermi level, the calculation gives 2.70 states/eV/cell. The size of the total moment comes out at 3.488 μB/cell.

The space group is P4/mmm (No. 123) and the conventional cell measures 4.3396, 4.3396 and 3.3437 Å, with angles of 90.00, 90.00 and 90.00 degrees. The inequivalent atoms are Cr at (0.0000, 0.0000, 0.0000), H at (0.5000, 0.5000, 0.5000), Ir at (0.5000, 0.5000, 0.0000) and S at (0.0000, 0.5000, 0.5000).

Entry 2:
# TbHg4

A geometry-optimized TbHg4 structure (PBE, Alexandria).

For the total energy, the calculation gives -1.39 eV/atom. For the distance to the lowest polymorph of the same formula, the calculation gives 2 meV/atom. For the density of states at the Fermi level, the calculation gives 5.02 states/eV/cell. The size of the total moment comes out at 0.000 μB/cell. The formation energy comes out at -0.219 eV per atom.

The space group is C2/m (No. 12) and the conventional cell measures 8.5608, 5.0967 and 6.1959 Å, with angles of 90.00, 115.08 and 90.00 degrees. The inequivalent atoms are Tb at (0.0000, 0.0000, 0.0000), Hg at (0.0967, 0.5000, 0.7858) and Hg at (0.2050, 0.0000, 0.6169).

Entry 3:
# Pm12Y5Sc2

A geometry-optimized Pm12Y5Sc2 structure (PBE, Alexandria).

For the total energy, the calculation gives -5.21 eV/atom. For the distance to the lowest polymorph of the same formula, the calculation gives 38 meV/atom. For the density of states at the Fermi level, the calculation gives 63.60 states/eV/cell. The size of the total moment comes out at 0.000 μB/cell. The formation energy comes out at 0.154 eV per atom.

The space group is C2/m (No. 12) and the conventional cell measures 19.2529, 7.4388 and 9.9405 Å, with angles of 90.00, 117.63 and 90.00 degrees. The inequivalent atoms are Pm at (0.0018, 0.0000, 0.2014), Pm at (0.0067, 0.5000, 0.3198), Pm at (0.1607, 0.2471, 0.8463), Pm at (0.1643, 0.2396, 0.4954), Y at (0.0000, 0.0000, 0.5000), Y at (0.1737, 0.0000, 0.1716), Y at (0.1755, 0.5000, 0.1876) and Sc at (0.0000, 0.3049, 0.0000).

Entry 4:
# CdGe2C

A geometry-optimized CdGe2C structure (PBE, Alexandria).

For the total energy, the calculation gives -3.38 eV/atom. For the distance to the lowest polymorph of the same formula, the calculation gives 807 meV/atom. For the density of states at the Fermi level, the calculation gives 7.47 states/eV/cell. The size of the total moment comes out at 0.000 μB/cell. The formation energy comes out at 1.460 eV per atom.

The space group is Fm-3m (No. 225) and the conventional cell measures 6.5106, 6.5106 and 6.5106 Å, with angles of 90.00, 90.00 and 90.00 degrees. The inequivalent atoms are Cd at (0.0000, 0.0000, 0.0000), Ge at (0.2500, 0.2500, 0.2500) and C at (0.0000, 0.0000, 0.5000).